3
Lattice="-0.149 -6.324 -4.261 2.363 -5.024 -4.851 0.065 -2.213 1.856" Properties=species:S:1:pos:R:3 comment="PBE InAgOs, relaxed" spacegroup=Fmm2 m_tot_mub_per_cell=0.649 formation_energy_ev_per_atom=0.660 de_polymorph_ev_per_fu=0.19 e_tot_ev_per_fu=-14.84 pbc="T T T"
In 0.772 -5.219 -1.753
Os 1.500 -8.314 -5.469
Ag 0.071 -2.242 1.822